[1]
The following is a PBE calculation of crystalline LaSbTe4 at its relaxed geometry, from the Alexandria database.

Output
M_tot, μB/f.u.: 0.00
Density, g cm⁻³: 7.06
Space-group type: F-43m (216)
Formation energy (no corrections), meV/atom: -100
VASP energy, eV/atom: -3.702

The structure in extended XYZ format:
```
6
Lattice="0.0000 4.4927 4.4927 4.4927 0.0000 4.4927 4.4927 4.4927 0.0000" Properties=species:S:1:pos:R:3 pbc="T T T"
La 6.7390 6.7390 6.7390
Sb 0.0000 0.0000 0.0000
Te 3.3707 5.6147 5.6147
Te 5.6147 5.6147 3.3707
Te 5.6147 3.3707 5.6147
Te 3.3707 3.3707 3.3707
```

***

[2]
The following is a PBE calculation of crystalline La5SbTe5 at its relaxed geometry, from the Alexandria database.

Output
M_tot, μB/f.u.: 0.00
Density, g cm⁻³: 5.92
Space-group type: C2/m (12)
Formation energy (no corrections), meV/atom: -1548
VASP energy, eV/atom: -5.591

The structure in extended XYZ format:
```
11
Lattice="6.0187 0.0000 -2.4245 -0.7919 8.9095 -1.9658 -0.3148 -0.6384 7.9012" Properties=species:S:1:pos:R:3 pbc="T T T"
La 0.2186 7.1854 0.5427
La 0.6198 2.7573 1.5387
La 3.0093 0.0000 -1.2123
La 4.2921 5.5139 1.9721
La 4.6933 1.0857 2.9682
Sb 0.0000 0.0000 0.0000
Te 1.2727 5.4975 3.1593
Te 1.6596 1.0652 4.1199
Te -0.3959 4.4548 -0.9829
Te 3.2523 7.2060 -0.6091
Te 3.6393 2.7736 0.3515
```

***

[3]
The following is a PBE calculation of crystalline La10Sb3Te3 at its relaxed geometry, from the Alexandria database.

Output
M_tot, μB/f.u.: 0.48
Density, g cm⁻³: 6.82
Space-group type: P-62m (189)
Formation energy (no corrections), meV/atom: -1096
VASP energy, eV/atom: -5.538

The structure in extended XYZ format:
```
16
Lattice="6.6020 0.0000 0.0000 0.0000 8.2613 -4.7697 0.0000 0.0000 9.5393" Properties=species:S:1:pos:R:3 pbc="T T T"
La 1.6364 5.5075 0.0000
La 1.6364 2.7538 4.7697
La 4.9656 2.7538 4.7697
La 4.9656 5.5075 0.0000
La 3.3010 0.0000 7.0874
La 3.3010 6.1379 -3.5437
La 3.3010 2.1234 1.2259
La 0.0000 0.0000 2.4467
La 0.0000 2.1189 -1.2233
La 0.0000 6.1424 3.5463
Sb 0.0000 0.0000 5.8712
Sb 0.0000 5.0846 -2.9356
Sb 0.0000 3.1767 1.8341
Te 3.3010 0.0000 3.6586
Te 3.3010 3.1684 -1.8293
Te 3.3010 5.0929 2.9404
```